This record from Alexandria via LeMat-Bulk describes crystalline CaCuTe2 at its relaxed geometry. The functional is PBE-GGA.

Computed properties:
- Energy: -3.60 eV/atom
- Space-group type: R-3m, No. 166
- Density of states at the Fermi level: 0.99 states/eV per atom
- ΔE_f (raw): -11.52 kcal/mol of atoms
- Volume: 36.898 Å³ per atom

Cell lengths 8.831, 8.831, 8.831 Å; angles 29.48, 29.48, 29.48 degrees
Fractional coordinates of all 4 atoms:
Ca: 0.500 0.500 0.500
Te: 0.905 0.905 0.905
Te: 0.095 0.095 0.095
Cu: 0.000 0.000 0.000



This record from Alexandria via LeMat-Bulk describes crystalline PtCl3F at its relaxed geometry. The functional is PBE-GGA.

Computed properties:
- Energy: -3.26 eV/atom
- Space-group type: P2/c, No. 13
- E above lowest polymorph: 0.00 kJ/mol of atoms
- ΔE_f (raw): -13.23 kcal/mol of atoms
- Volume: 34.388 Å³ per atom

Cell lengths 9.084, 7.233, 10.536 Å; angles 96.54, 90.00, 90.00 degrees
Fractional coordinates of all 20 atoms:
Pt: 0.865 0.920 0.890
Pt: 0.135 0.920 0.390
Pt: 0.865 0.080 0.610
Pt: 0.135 0.080 0.110
Cl: 0.881 0.367 0.544
Cl: 0.119 0.367 0.044
Cl: 0.385 0.088 0.102
Cl: 0.131 0.946 0.901
Cl: 0.615 0.088 0.602
Cl: 0.119 0.633 0.456
Cl: 0.131 0.054 0.599
Cl: 0.385 0.912 0.398
Cl: 0.869 0.054 0.099
Cl: 0.615 0.912 0.898
Cl: 0.881 0.633 0.956
Cl: 0.869 0.946 0.401
F: 0.861 0.824 0.699
F: 0.861 0.176 0.801
F: 0.139 0.824 0.199
F: 0.139 0.176 0.301



This record from Alexandria via LeMat-Bulk describes crystalline Ce3NpPt12 at its relaxed geometry. The functional is PBE-GGA.

Computed properties:
- Calculated formation energy: -0.891 eV per atom
- Energy: -7.34 eV/atom
- Space-group type: P4/mmm, No. 123
- Density of states at the Fermi level: 1.16 states/eV per atom
- Volume: 18.096 Å³ per atom

Cell lengths 4.166, 4.166, 16.683 Å; angles 90.00, 90.00, 90.00 degrees
Site moments in Bohr magnetons follow the coordinates.
Fractional coordinates of all 16 atoms:
Ce: 0.000 0.000 0.250  0.24
Ce: 0.000 0.000 0.500  -0.26
Ce: 0.000 0.000 0.750  0.24
Np: 0.000 0.000 0.000  3.28
Pt: 0.500 0.500 0.000  -0.03
Pt: 0.500 0.500 0.250  -0.02
Pt: 0.500 0.500 0.500  0.01
Pt: 0.500 0.500 0.750  -0.02
Pt: 0.500 0.000 0.125  -0.02
Pt: 0.500 0.000 0.375  0.00
Pt: 0.500 0.000 0.625  0.00
Pt: 0.500 0.000 0.875  -0.02
Pt: 0.000 0.500 0.125  -0.02
Pt: 0.000 0.500 0.375  0.00
Pt: 0.000 0.500 0.625  0.00
Pt: 0.000 0.500 0.875  -0.02



This record from Alexandria via LeMat-Bulk describes crystalline Cu2RuSe at its relaxed geometry. The functional is PBE-GGA.

Computed properties:
- Energy: -4.83 eV/atom
- Space-group type: R-3m, No. 166
- Density of states at the Fermi level: 0.97 states/eV per atom
- ΔE_f (raw): 9.40 kcal/mol of atoms
- Volume: 14.479 Å³ per atom

Cell lengths 8.643, 8.643, 8.643 Å; angles 18.69, 18.69, 18.69 degrees
Site moments in Bohr magnetons follow the coordinates.
Fractional coordinates of all 4 atoms:
Cu: 0.998 0.998 0.998  0.03
Cu: 0.502 0.502 0.502  0.03
Ru: 0.250 0.250 0.250  0.50
Se: 0.750 0.750 0.750  0.03



This record from Alexandria via LeMat-Bulk describes crystalline Tb5GaNi2 at its relaxed geometry. The functional is PBE-GGA.

Computed properties:
- Calculated formation energy: -0.374 eV per atom
- Energy: -5.09 eV/atom
- Space-group type: I4/mcm, No. 140
- Density of states at the Fermi level: 1.12 states/eV per atom
- Volume: 23.747 Å³ per atom

Cell lengths 7.641, 7.641, 8.459 Å; angles 116.85, 116.85, 90.00 degrees
Fractional coordinates of all 16 atoms:
Tb: 0.522 0.699 0.720
Tb: 0.801 0.978 0.280
Tb: 0.000 0.000 0.000
Tb: 0.500 0.500 0.000
Tb: 0.199 0.022 0.720
Tb: 0.699 0.199 0.720
Tb: 0.022 0.522 0.720
Tb: 0.301 0.801 0.280
Tb: 0.978 0.478 0.280
Tb: 0.478 0.301 0.280
Ga: 0.750 0.750 0.500
Ga: 0.250 0.250 0.500
Ni: 0.126 0.374 0.000
Ni: 0.626 0.126 0.000
Ni: 0.374 0.874 0.000
Ni: 0.874 0.626 0.000



This record from Alexandria via LeMat-Bulk describes crystalline AlPbS2 at its relaxed geometry. The functional is PBE-GGA.

Computed properties:
- Energy: -4.35 eV/atom
- Space-group type: I4_1/amd, No. 141
- Density of states at the Fermi level: 0.42 states/eV per atom
- ΔE_f (raw): -9.66 kcal/mol of atoms
- Volume: 22.396 Å³ per atom

Cell lengths 5.700, 5.700, 6.830 Å; angles 65.33, 65.33, 90.00 degrees
Fractional coordinates of all 8 atoms:
Pb: 0.000 0.000 0.000
Pb: 0.750 0.250 0.500
S: 0.720 0.720 0.559
S: 0.030 0.530 0.941
S: 0.280 0.280 0.441
S: 0.470 0.970 0.059
Al: 0.500 0.500 0.000
Al: 0.250 0.750 0.500